(1)
Zr2AlCd | PBEsol | relaxed

Lattice parameters (Å, degrees): 4.2287 4.3143 4.3143 90.00 90.00 90.00
Fractional positions:
Al1 0.5000 0.5000 0.5000
Zr1 0.0000 0.0000 0.5000
Zr2 0.0000 0.5000 0.0000
Cd1 0.5000 0.0000 0.0000

---

(2)
ZrAlCd | PBEsol | relaxed

Lattice parameters (Å, degrees): 4.6344 4.6344 4.6344 60.00 60.00 60.00
Fractional positions:
Al1 0.0000 0.0000 0.0000
Zr1 0.7500 0.7500 0.7500
Cd1 0.5000 0.5000 0.5000

---

(3)
ZrAlCd2 | PBEsol | relaxed

Lattice parameters (Å, degrees): 2.9240 5.2613 5.5097 110.94 90.00 90.00
Fractional positions:
Al1 0.0000 0.5000 0.5000
Zr1 0.5000 0.0000 0.5000
Cd1 0.0000 0.0000 0.0000
Cd2 0.5000 0.5000 0.0000

energy relative to the lowest polymorph listed for this composition = 155 meV/atom

---

It is found that the ΔE_f values, taken in the order of the records, are -285; 385; -127 meV/atom.
It is found that the E values, taken in the order of the records, are -24.61; -13.22; -16.08 eV per cell.